No. 1
## TeRu2Pt (PBE)

Data for a relaxed structure of TeRu2Pt.

```
TeRu2Pt
1.0
-2.0852 -1.9908 0.3493
1.4135 0.1077 -2.5345
6.2134 -5.9444 3.2129
Ru Pt Te
2 1 1
direct
0.0000 0.0000 0.9962 Ru
0.0000 0.0000 0.5038 Ru
0.5000 0.5000 0.7500 Pt
0.5000 0.5000 0.2500 Te
```

Calculated values
The value obtained for the raw formation energy is 0.750 eV/atom. The calculation puts the spin magnetization at 0.921 μB per cell. The calculation puts the volume at 17.0 Å³/atom. The value obtained for the total energy is -6.18 eV per atom. The calculation puts the density of states at the Fermi level at 1.64 states/eV per atom.

---

No. 2
## AlAgPb (PBE)

Data for a relaxed structure of AlAgPb.

```
AlAgPb
1.0
3.3932 -0.0086 0.0188
-3.3574 5.8220 0.0075
-1.7034 2.8813 6.7424
Ag Pb Al
2 2 2
direct
0.1262 0.5035 0.8026 Ag
0.1251 0.2820 0.2443 Ag
0.6289 0.0845 0.6407 Pb
0.6229 0.7010 0.4061 Pb
0.8965 0.6640 0.0236 Al
0.3546 0.1214 0.0233 Al
```

Calculated values
The calculation puts the spin magnetization at 0.000 μB per cell. The calculation puts the volume at 22.2 Å³/atom. The value obtained for the total energy is -3.35 eV per atom. The calculation puts the density of states at the Fermi level at 0.37 states/eV per atom.

---

No. 3
## MgIrPtC2 (PBE)

Data for a relaxed structure of MgIrPtC2.

```
MgIrPtC2
1.0
3.9835 0.0000 0.0000
0.0000 4.7312 0.0000
0.0000 0.0000 3.9835
Pt C Mg Ir
1 2 1 1
direct
0.0000 0.5000 0.0000 Pt
0.5000 0.0000 0.0000 C
0.0000 0.0000 0.5000 C
0.0000 0.0000 0.0000 Mg
0.5000 0.5000 0.5000 Ir
```

Calculated values
The calculation puts the spin magnetization at 0.000 μB per cell. The calculation puts the volume at 15.0 Å³/atom. The value obtained for the total energy is -4.34 eV per atom. The calculation puts the density of states at the Fermi level at 1.34 states/eV per atom.

---

No. 4
## Dy2ErGe2 (PBE)

Data for a relaxed structure of Dy2ErGe2.

```
Dy2ErGe2
1.0
-0.4171 2.4395 3.4465
-6.4054 -3.5866 1.7635
3.9272 -5.0295 4.0353
Dy Er Ge
4 2 4
direct
0.5000 0.1729 0.6729 Dy
0.5000 0.6729 0.8271 Dy
0.5000 0.3271 0.1729 Dy
0.5000 0.8271 0.3271 Dy
0.0000 0.0000 0.0000 Er
0.0000 0.5000 0.5000 Er
0.0000 0.8745 0.6255 Ge
0.0000 0.6255 0.1255 Ge
0.0000 0.3745 0.8745 Ge
0.0000 0.1255 0.3745 Ge
```

Calculated values
The calculation puts the spin magnetization at 0.000 μB per cell. The calculation puts the volume at 24.2 Å³/atom. The value obtained for the total energy is -5.39 eV per atom. The calculation puts the density of states at the Fermi level at 0.84 states/eV per atom. The calculation puts the energy above the most stable polymorph in this dataset at 0 meV per atom.

---

No. 5
## Pr8Co2Ag (PBE)

Data for a relaxed structure of Pr8Co2Ag.

```
Pr8Co2Ag
1.0
-4.2975 3.4695 -1.9196
2.5835 -2.7278 -7.1366
-4.4641 -5.0727 4.4029
Pr Co Ag
8 2 1
direct
0.9355 0.9137 0.6592 Pr
0.5000 0.7615 0.2385 Pr
0.0645 0.0863 0.3408 Pr
0.3130 0.6111 0.6111 Pr
0.9355 0.6592 0.9137 Pr
0.0645 0.3408 0.0863 Pr
0.6870 0.3889 0.3889 Pr
0.5000 0.2385 0.7615 Pr
0.0000 0.7149 0.2851 Co
0.0000 0.2851 0.7149 Co
0.5000 0.0000 0.0000 Ag
```

Calculated values
The calculation puts the spin magnetization at 0.000 μB per cell. The calculation puts the volume at 29.7 Å³/atom. The value obtained for the total energy is -5.00 eV per atom. The calculation puts the density of states at the Fermi level at 1.19 states/eV per atom.

---

No. 6
## LaTb2OsC2 (PBE)

Data for a relaxed structure of LaTb2OsC2.

```
LaTb2OsC2
1.0
-0.3934 -0.2269 3.8337
-2.4868 -5.1610 -0.5607
9.9773 -4.8872 0.7346
Tb Os La C
4 2 2 4
direct
0.0000 0.5223 0.2978 Tb
0.5000 0.9777 0.7978 Tb
0.0000 0.4777 0.7022 Tb
0.5000 0.0223 0.2022 Tb
0.5000 0.5000 0.5000 Os
0.0000 0.0000 0.0000 Os
0.5000 0.5000 0.0000 La
0.0000 0.0000 0.5000 La
0.0000 0.7538 0.8752 C
0.5000 0.2538 0.6248 C
0.5000 0.7462 0.3752 C
0.0000 0.2462 0.1248 C
```

Calculated values
The calculation puts the spin magnetization at 0.000 μB per cell. The calculation puts the volume at 20.6 Å³/atom. The value obtained for the total energy is -7.48 eV per atom. The calculation puts the density of states at the Fermi level at 0.64 states/eV per atom.

---

No. 7
## LaNd7In2 (PBE)

Data for a relaxed structure of LaNd7In2.

```
LaNd7In2
1.0
-0.2990 2.5950 4.9760
-7.6516 -4.6770 1.9793
8.1230 -3.5792 2.3547
Nd In La
7 2 1
direct
0.0000 0.2301 0.7699 Nd
0.5000 0.6970 0.9419 Nd
0.5000 0.0581 0.3030 Nd
0.5000 0.5000 0.5000 Nd
0.0000 0.7699 0.2301 Nd
0.5000 0.3030 0.0581 Nd
0.5000 0.9419 0.6970 Nd
0.5000 0.6960 0.3040 In
0.5000 0.3040 0.6960 In
0.0000 0.0000 0.0000 La
```

Calculated values
The calculation puts the spin magnetization at 0.002 μB per cell. The calculation puts the volume at 41.5 Å³/atom. The value obtained for the total energy is -4.08 eV per atom. The calculation puts the density of states at the Fermi level at 1.93 states/eV per atom.

---

No. 8
## CsSc2CoB (PBE)

Data for a relaxed structure of CsSc2CoB.

```
CsSc2CoB
1.0
4.6987 0.0000 0.0000
0.0000 5.8819 0.0000
0.0000 0.0000 4.6987
Co Sc B Cs
1 2 1 1
direct
0.5000 0.5000 0.5000 Co
0.0000 0.0000 0.5000 Sc
0.5000 0.0000 0.0000 Sc
0.0000 0.0000 0.0000 B
0.0000 0.5000 0.0000 Cs
```

Calculated values
The calculation puts the spin magnetization at 1.381 μB per cell. The calculation puts the volume at 26.0 Å³/atom. The value obtained for the total energy is -4.44 eV per atom. The calculation puts the density of states at the Fermi level at 1.28 states/eV per atom.

---

No. 9
## LaCrSe3 (PBE)

Data for a relaxed structure of LaCrSe3.

```
LaCrSe3
1.0
3.8830 0.0000 0.0000
0.0000 7.3151 0.0938
0.0000 -1.5275 8.0265
Se Cr La
6 2 2
direct
0.2500 0.3493 0.5862 Se
0.7500 0.0696 0.3173 Se
0.2500 0.7333 0.0711 Se
0.7500 0.2667 0.9289 Se
0.2500 0.9304 0.6827 Se
0.7500 0.6507 0.4138 Se
0.7500 0.1175 0.6125 Cr
0.2500 0.8825 0.3875 Cr
0.2500 0.3772 0.2015 La
0.7500 0.6228 0.7985 La
```

Calculated values
The value obtained for the raw formation energy is -1.089 eV/atom. The calculation puts the spin magnetization at 2.106 μB per cell. The calculation puts the volume at 22.9 Å³/atom. The value obtained for the total energy is -6.09 eV per atom. The calculation puts the density of states at the Fermi level at 0.23 states/eV per atom.

---

No. 10
## Ag2Cl (PBE)

Data for a relaxed structure of Ag2Cl.

```
Ag2Cl
1.0
4.6095 0.0000 0.0000
2.3048 3.9920 0.0000
2.3048 1.3307 3.7637
Cl Ag
1 2
direct
0.0000 0.0000 0.0000 Cl
0.2500 0.2500 0.2500 Ag
0.7500 0.7500 0.7500 Ag
```

Calculated values
The value obtained for the raw formation energy is 0.156 eV/atom. The calculation puts the spin magnetization at 0.000 μB per cell. The calculation puts the volume at 23.1 Å³/atom. The value obtained for the total energy is -2.36 eV per atom. The calculation puts the density of states at the Fermi level at 0.08 states/eV per atom. The calculation puts the energy above the most stable polymorph in this dataset at 378 meV per atom.

---

No. 11
## Cs2HgPt (PBE)

Data for a relaxed structure of Cs2HgPt.

```
Cs2HgPt
1.0
-0.4887 -4.0805 0.7404
0.9114 -0.8330 -3.9891
9.2058 -0.6945 2.2482
Cs Hg Pt
2 1 1
direct
0.0000 0.0000 0.1973 Cs
0.0000 0.0000 0.8027 Cs
0.5000 0.5000 0.5000 Hg
0.5000 0.5000 0.0000 Pt
```

Calculated values
The calculation puts the spin magnetization at 0.001 μB per cell. The calculation puts the volume at 41.4 Å³/atom. The value obtained for the total energy is -1.98 eV per atom. The calculation puts the density of states at the Fermi level at 0.53 states/eV per atom. The calculation puts the energy above the most stable polymorph in this dataset at 225 meV per atom.

---

No. 12
## SrSc2Mn (PBE)

Data for a relaxed structure of SrSc2Mn.

```
SrSc2Mn
1.0
4.8691 0.0000 0.0000
0.0000 3.4241 0.0009
0.0000 1.7083 6.6604
Mn Sc Sr
1 2 1
direct
0.5000 0.9059 0.8139 Mn
0.5000 0.2331 0.1598 Sc
0.0000 0.8148 0.9956 Sc
0.0000 0.5462 0.5308 Sr
```

Calculated values
The calculation puts the spin magnetization at 1.801 μB per cell. The calculation puts the volume at 27.8 Å³/atom. The value obtained for the total energy is -5.53 eV per atom. The calculation puts the density of states at the Fermi level at 1.06 states/eV per atom. The calculation puts the energy above the most stable polymorph in this dataset at 145 meV per atom.

---

> What is the formula in the third record?

MgIrPtC2

---

Copy entry 5 word for word.
## Pr8Co2Ag (PBE)

Data for a relaxed structure of Pr8Co2Ag.

```
Pr8Co2Ag
1.0
-4.2975 3.4695 -1.9196
2.5835 -2.7278 -7.1366
-4.4641 -5.0727 4.4029
Pr Co Ag
8 2 1
direct
0.9355 0.9137 0.6592 Pr
0.5000 0.7615 0.2385 Pr
0.0645 0.0863 0.3408 Pr
0.3130 0.6111 0.6111 Pr
0.9355 0.6592 0.9137 Pr
0.0645 0.3408 0.0863 Pr
0.6870 0.3889 0.3889 Pr
0.5000 0.2385 0.7615 Pr
0.0000 0.7149 0.2851 Co
0.0000 0.2851 0.7149 Co
0.5000 0.0000 0.0000 Ag
```

Calculated values
The calculation puts the spin magnetization at 0.000 μB per cell. The calculation puts the volume at 29.7 Å³/atom. The value obtained for the total energy is -5.00 eV per atom. The calculation puts the density of states at the Fermi level at 1.19 states/eV per atom.

---

> What is the spin magnetization in the tenth record?

0.000 μB per cell